Record 1
Density functional theory data (PBE) for an optimized crystal structure of Tb2Pm3Ga2.

abc: 12.308 4.145 8.731
angles: 90.00 113.34 90.00
Atoms (fractional coordinates):
Tb 0.153 0.000 0.313
Tb 0.347 0.500 0.687
Tb 0.653 0.500 0.313
Tb 0.847 0.000 0.687
Pm 0.000 0.500 0.500
Pm 0.116 0.500 0.934
Pm 0.384 0.000 0.066
Pm 0.500 0.000 0.500
Pm 0.616 0.000 0.934
Pm 0.884 0.500 0.066
Ga 0.178 0.000 0.711
Ga 0.322 0.500 0.289
Ga 0.678 0.500 0.711
Ga 0.822 0.000 0.289

Computed properties:
**Spin magnetization**: 0.00 μB per formula unit
**N(E_F)**: 0.958 states/eV per atom
**Volume**: 409.0 Å³/cell

Record 2
Density functional theory data (PBE) for an optimized crystal structure of Tb3PmGa2.

abc: 5.017 9.559 6.615
angles: 90.00 90.00 90.00
Atoms (fractional coordinates):
Tb 0.000 0.052 0.000
Tb 0.000 0.319 0.356
Tb 0.000 0.681 0.856
Tb 0.000 0.948 0.500
Tb 0.500 0.174 0.706
Tb 0.500 0.826 0.206
Pm 0.500 0.451 0.064
Pm 0.500 0.549 0.564
Ga 0.000 0.356 0.818
Ga 0.000 0.644 0.318
Ga 0.500 0.142 0.242
Ga 0.500 0.858 0.742

Computed properties:
**Spin magnetization**: 0.00 μB per formula unit
**N(E_F)**: 0.962 states/eV per atom
**Volume**: 317.2 Å³/cell
**Energy above the most stable polymorph in this dataset**: 0 meV/atom

Record 3
Density functional theory data (PBE) for an optimized crystal structure of Tb2PmGa6.

abc: 7.837 7.837 7.837
angles: 147.78 126.10 64.20
Atoms (fractional coordinates):
Tb 0.127 0.127 0.000
Tb 0.873 0.873 0.000
Pm 0.500 0.000 0.500
Ga 0.124 0.317 0.807
Ga 0.184 0.500 0.684
Ga 0.490 0.683 0.807
Ga 0.510 0.317 0.193
Ga 0.816 0.500 0.316
Ga 0.876 0.683 0.193

Computed properties:
**Spin magnetization**: 0.00 μB per formula unit
**N(E_F)**: 0.482 states/eV per atom
**Volume**: 205.1 Å³/cell
**Energy above the most stable polymorph in this dataset**: 180 meV/atom

Record 4
Density functional theory data (PBE) for an optimized crystal structure of TbPm7Ga4.

abc: 7.473 7.473 10.518
angles: 121.26 121.26 44.08
Atoms (fractional coordinates):
Tb 0.000 0.000 0.000
Pm 0.065 0.065 0.387
Pm 0.206 0.206 0.880
Pm 0.295 0.295 0.355
Pm 0.500 0.500 0.000
Pm 0.705 0.705 0.645
Pm 0.794 0.794 0.120
Pm 0.935 0.935 0.613
Ga 0.321 0.321 0.670
Ga 0.446 0.446 0.242
Ga 0.554 0.554 0.758
Ga 0.679 0.679 0.330

Computed properties:
**Spin magnetization**: 0.00 μB per formula unit
**N(E_F)**: 1.051 states/eV per atom
**Volume**: 338.7 Å³/cell

Record 5
Density functional theory data (PBE) for an optimized crystal structure of Tb2PmGa.

abc: 4.784 4.784 4.742
angles: 90.00 90.00 90.00
Atoms (fractional coordinates):
Tb 0.000 0.500 0.000
Tb 0.500 0.000 0.000
Pm 0.000 0.000 0.500
Ga 0.500 0.500 0.500

Computed properties:
**Spin magnetization**: 0.00 μB per formula unit
**N(E_F)**: 1.532 states/eV per atom
**Volume**: 108.5 Å³/cell
**Energy above the most stable polymorph in this dataset**: 44 meV/atom

Record 6
Density functional theory data (PBE) for an optimized crystal structure of Tb3Pm2Ga2.

abc: 12.104 4.202 8.652
angles: 90.00 113.37 90.00
Atoms (fractional coordinates):
Tb 0.000 0.000 0.000
Tb 0.122 0.000 0.439
Tb 0.378 0.500 0.561
Tb 0.500 0.500 0.000
Tb 0.622 0.500 0.439
Tb 0.878 0.000 0.561
Pm 0.150 0.500 0.809
Pm 0.350 0.000 0.191
Pm 0.650 0.000 0.809
Pm 0.850 0.500 0.191
Ga 0.170 0.500 0.214
Ga 0.330 0.000 0.786
Ga 0.670 0.000 0.214
Ga 0.830 0.500 0.786

Computed properties:
**Spin magnetization**: 0.00 μB per formula unit
**N(E_F)**: 1.095 states/eV per atom
**Volume**: 403.9 Å³/cell

Record 7
Density functional theory data (PBE) for an optimized crystal structure of Tb2PmGa.

abc: 4.268 12.088 9.094
angles: 90.00 90.00 90.00
Atoms (fractional coordinates):
Tb 0.000 0.145 0.056
Tb 0.000 0.145 0.444
Tb 0.000 0.855 0.556
Tb 0.000 0.855 0.944
Tb 0.500 0.355 0.556
Tb 0.500 0.355 0.944
Tb 0.500 0.645 0.056
Tb 0.500 0.645 0.444
Pm 0.000 0.441 0.250
Pm 0.000 0.559 0.750
Pm 0.500 0.059 0.750
Pm 0.500 0.941 0.250
Ga 0.000 0.247 0.750
Ga 0.000 0.753 0.250
Ga 0.500 0.253 0.250
Ga 0.500 0.747 0.750

Computed properties:
**Spin magnetization**: 0.00 μB per formula unit
**N(E_F)**: 1.431 states/eV per atom
**Volume**: 469.2 Å³/cell
**Energy above the most stable polymorph in this dataset**: 36 meV/atom

Record 8
Density functional theory data (PBE) for an optimized crystal structure of Tb2Pm8Ga.

abc: 9.889 9.889 9.889
angles: 147.36 135.32 56.42
Atoms (fractional coordinates):
Tb 0.192 0.192 0.000
Tb 0.808 0.808 0.000
Pm 0.103 0.369 0.735
Pm 0.253 0.000 0.253
Pm 0.318 0.818 0.500
Pm 0.366 0.631 0.735
Pm 0.634 0.369 0.265
Pm 0.682 0.182 0.500
Pm 0.747 0.000 0.747
Pm 0.897 0.631 0.265
Ga 0.500 0.500 0.000

Computed properties:
**Spin magnetization**: 0.00 μB per formula unit
**N(E_F)**: 1.617 states/eV per atom
**Volume**: 364.1 Å³/cell

no.,uncorrected energy (eV per atom),formation energy from the elements (eV per atom)
1,-4.52,-0.30
2,-4.53,-0.41
3,-4.06,-0.48
4,-4.37,-0.20
5,-4.50,-0.24
6,-4.52,-0.31
7,-4.50,-0.24
8,-4.59,-0.02